Density functional theory data (GGA+U) for a relaxed structure of CaMoO4.

Lattice parameters (Å, degrees): 5.7196 5.7844 6.7826 118.88 113.25 75.40
Last column: magnetic moment on the atom in μB.
Fractional coordinates of all 12 atoms:
O (0.9353, 0.2261, 0.6520)  0.01
O (0.5921, 0.7924, 0.5467)  0.00
Mo (0.7165, 0.9112, 0.3760)  1.89
Ca (0.6624, 0.5870, 0.7932)  0.01
O (0.6300, 0.5201, 0.0940)  0.01
O (0.3700, 0.4799, 0.9060)  0.01
O (0.4079, 0.2076, 0.4533)  0.00
Ca (0.3376, 0.4130, 0.2068)  0.01
O (0.0647, 0.7739, 0.3480)  0.01
Mo (0.2835, 0.0888, 0.6240)  1.89
O (0.6328, 0.0217, 0.0885)  0.00
O (0.3672, 0.9783, 0.9115)  0.00

Values from the calculation:
- crystal system = triclinic
- electronic total energy (eV per atom) = -6.552